Record 1
Here is a geometry-optimized LaSc2Os structure from the Alexandria database. Energies are from PBE-GGA.

Lattice parameters (Å, degrees): 6.2247 6.2247 6.2247 148.13 130.28 60.28
Positions (direct):
1 La 0.0000 0.0000 0.0000
2 Sc 0.3039 0.8039 0.5000
3 Sc 0.6961 0.1961 0.5000
4 Os 0.5000 0.5000 0.0000

Values from the calculation:
For the calculated formation energy, the calculation gives -0.13 eV per atom. The energy above the most stable polymorph in this dataset is 12.5 kJ per mole of atoms. Its crystal system is orthorhombic.

Record 2
Here is a geometry-optimized LaSc2Os structure from the Alexandria database. Energies are from PBE-GGA.

Lattice parameters (Å, degrees): 3.4027 3.8872 7.3429 90.00 95.65 90.00
Positions (direct):
1 La 0.0000 0.0000 0.0000
2 Sc 0.4231 0.5000 0.6584
3 Sc 0.8788 0.0000 0.4152
4 Os 0.3760 0.5000 0.2841

Values from the calculation:
For the calculated formation energy, the calculation gives -0.03 eV per atom. The energy above the most stable polymorph in this dataset is 22.0 kJ per mole of atoms. Its crystal system is monoclinic.